1:
## Zn2Ga2W (PBE)

Data for a geometry-optimized Zn2Ga2W structure. Values from VASP.

```
&SYSTEM
  ibrav = 0, nat = 10, ntyp = 3
/
ATOMIC_SPECIES
Zn 65.41 Zn.upf
Ga 69.72 Ga.upf
W 183.84 W.upf
ATOMIC_POSITIONS crystal
Zn 0.1235 0.3765 0.0000
Zn 0.3765 0.8765 0.0000
Zn 0.6235 0.1235 0.0000
Zn 0.8765 0.6235 0.0000
Ga 0.1777 0.6777 0.5000
Ga 0.3223 0.1777 0.5000
Ga 0.6777 0.8223 0.5000
Ga 0.8223 0.3223 0.5000
W 0.0000 0.0000 0.0000
W 0.5000 0.5000 0.0000
CELL_PARAMETERS angstrom
7.1889 0.0000 0.0000
0.0000 7.1889 0.0000
0.0000 0.0000 2.9730
```

2:
## Zn2Ga2W (PBE)

Data for a geometry-optimized Zn2Ga2W structure. Values from VASP.

```
&SYSTEM
  ibrav = 0, nat = 10, ntyp = 3
/
ATOMIC_SPECIES
Zn 65.41 Zn.upf
Ga 69.72 Ga.upf
W 183.84 W.upf
ATOMIC_POSITIONS crystal
Zn 0.1550 0.3450 0.0000
Zn 0.3450 0.8450 0.0000
Zn 0.6550 0.1550 0.0000
Zn 0.8450 0.6550 0.0000
Ga 0.1452 0.6452 0.5000
Ga 0.3548 0.1452 0.5000
Ga 0.6452 0.8548 0.5000
Ga 0.8548 0.3548 0.5000
W 0.0000 0.0000 0.5000
W 0.5000 0.5000 0.5000
CELL_PARAMETERS angstrom
7.0733 0.0000 0.0000
0.0000 7.0733 0.0000
0.0000 0.0000 3.1157
```

3:
## Zn2Ga2W (PBE)

Data for a geometry-optimized Zn2Ga2W structure. Values from VASP.

```
&SYSTEM
  ibrav = 0, nat = 10, ntyp = 3
/
ATOMIC_SPECIES
Zn 65.41 Zn.upf
Ga 69.72 Ga.upf
W 183.84 W.upf
ATOMIC_POSITIONS crystal
Zn 0.0000 0.5000 0.2500
Zn 0.0000 0.5000 0.7500
Zn 0.5000 0.0000 0.2500
Zn 0.5000 0.0000 0.7500
Ga 0.0000 0.0000 0.0926
Ga 0.0000 0.0000 0.9074
Ga 0.5000 0.5000 0.4074
Ga 0.5000 0.5000 0.5926
W 0.0000 0.0000 0.5000
W 0.5000 0.5000 0.0000
CELL_PARAMETERS angstrom
3.4111 0.0000 0.0000
0.0000 3.4111 0.0000
0.0000 0.0000 14.0602
```

Which of them is the most stable? Correct choice: 2.

1:
## Zr3GaW (PBE)

Data for a geometry-optimized Zr3GaW structure. Values from VASP.

```
&SYSTEM
  ibrav = 0, nat = 5, ntyp = 3
/
ATOMIC_SPECIES
Zr 91.22 Zr.upf
Ga 69.72 Ga.upf
W 183.84 W.upf
ATOMIC_POSITIONS crystal
Zr 0.0000 0.0000 0.5000
Zr 0.0000 0.5000 0.0000
Zr 0.5000 0.0000 0.0000
Ga 0.0000 0.0000 0.0000
W 0.5000 0.5000 0.5000
CELL_PARAMETERS angstrom
4.9068 0.0000 0.0000
0.0000 4.9068 0.0000
0.0000 0.0000 4.9068
```

2:
## Zr3GaW (PBE)

Data for a geometry-optimized Zr3GaW structure. Values from VASP.

```
&SYSTEM
  ibrav = 0, nat = 5, ntyp = 3
/
ATOMIC_SPECIES
Zr 91.22 Zr.upf
Ga 69.72 Ga.upf
W 183.84 W.upf
ATOMIC_POSITIONS crystal
Zr 0.0000 0.0000 0.5000
Zr 0.0000 0.5000 0.0000
Zr 0.5000 0.0000 0.0000
Ga 0.5000 0.5000 0.5000
W 0.0000 0.0000 0.0000
CELL_PARAMETERS angstrom
5.0787 0.0000 0.0000
0.0000 5.0787 0.0000
0.0000 0.0000 5.0787
```

Which of them is the most stable? Correct choice: 2.

1:
## ZrGaW3 (PBE)

Data for a geometry-optimized ZrGaW3 structure. Values from VASP.

```
&SYSTEM
  ibrav = 0, nat = 5, ntyp = 3
/
ATOMIC_SPECIES
Zr 91.22 Zr.upf
Ga 69.72 Ga.upf
W 183.84 W.upf
ATOMIC_POSITIONS crystal
Zr 0.0000 0.0000 0.0000
Ga 0.5000 0.5000 0.5000
W 0.0000 0.5000 0.5000
W 0.5000 0.0000 0.5000
W 0.5000 0.5000 0.0000
CELL_PARAMETERS angstrom
4.6258 0.0000 0.0000
0.0000 4.6258 0.0000
0.0000 0.0000 4.6258
```

2:
## ZrGaW3 (PBE)

Data for a geometry-optimized ZrGaW3 structure. Values from VASP.

```
&SYSTEM
  ibrav = 0, nat = 5, ntyp = 3
/
ATOMIC_SPECIES
Zr 91.22 Zr.upf
Ga 69.72 Ga.upf
W 183.84 W.upf
ATOMIC_POSITIONS crystal
Zr 0.0000 0.0000 0.0000
Ga 0.5000 0.5000 0.5000
W 0.0000 0.0000 0.5000
W 0.0000 0.5000 0.0000
W 0.5000 0.0000 0.0000
CELL_PARAMETERS angstrom
4.8251 0.0000 0.0000
0.0000 4.8251 0.0000
0.0000 0.0000 4.8251
```

Which of them is the most stable? Correct choice: 1.

1:
## Y4ZnGa3 (PBE)

Data for a geometry-optimized Y4ZnGa3 structure. Values from VASP.

```
&SYSTEM
  ibrav = 0, nat = 8, ntyp = 3
/
ATOMIC_SPECIES
Y 88.91 Y.upf
Zn 65.41 Zn.upf
Ga 69.72 Ga.upf
ATOMIC_POSITIONS crystal
Y 0.0000 0.5000 0.2490
Y 0.0000 0.5000 0.7510
Y 0.5000 0.0000 0.2490
Y 0.5000 0.0000 0.7510
Zn 0.0000 0.0000 0.0000
Ga 0.0000 0.0000 0.5000
Ga 0.5000 0.5000 0.0000
Ga 0.5000 0.5000 0.5000
CELL_PARAMETERS angstrom
5.0733 0.0000 0.0000
0.0000 5.0733 0.0000
0.0000 0.0000 7.1241
```

2:
## Y4ZnGa3 (PBE)

Data for a geometry-optimized Y4ZnGa3 structure. Values from VASP.

```
&SYSTEM
  ibrav = 0, nat = 8, ntyp = 3
/
ATOMIC_SPECIES
Y 88.91 Y.upf
Zn 65.41 Zn.upf
Ga 69.72 Ga.upf
ATOMIC_POSITIONS crystal
Y 0.0000 0.0000 0.0000
Y 0.0000 0.5000 0.4983
Y 0.5000 0.0000 0.2812
Y 0.5000 0.5000 0.7833
Zn 0.5000 0.0000 0.5665
Ga 0.0000 0.0000 0.7190
Ga 0.0000 0.5000 0.2149
Ga 0.5000 0.5000 0.0668
CELL_PARAMETERS angstrom
4.1431 0.0000 0.0000
0.0000 4.2254 0.0000
0.0000 0.0000 11.0258
```

Which of them is the most stable? Correct choice: 2.

1:
## Y2Zn3Ga2 (PBE)

Data for a geometry-optimized Y2Zn3Ga2 structure. Values from VASP.

```
&SYSTEM
  ibrav = 0, nat = 14, ntyp = 3
/
ATOMIC_SPECIES
Y 88.91 Y.upf
Zn 65.41 Zn.upf
Ga 69.72 Ga.upf
ATOMIC_POSITIONS crystal
Y 0.1523 0.0000 0.2663
Y 0.3477 0.5000 0.7337
Y 0.6523 0.5000 0.2663
Y 0.8477 0.0000 0.7337
Zn 0.0000 0.5000 0.5000
Zn 0.0915 0.5000 0.9204
Zn 0.4085 0.0000 0.0796
Zn 0.5000 0.0000 0.5000
Zn 0.5915 0.0000 0.9204
Zn 0.9085 0.5000 0.0796
Ga 0.1493 0.0000 0.7496
Ga 0.3507 0.5000 0.2504
Ga 0.6493 0.5000 0.7496
Ga 0.8507 0.0000 0.2504
CELL_PARAMETERS angstrom
10.4875 0.0000 0.0000
0.0000 4.3127 0.0000
-2.5225 0.0000 6.0252
```

2:
## Y2Zn3Ga2 (PBE)

Data for a geometry-optimized Y2Zn3Ga2 structure. Values from VASP.

```
&SYSTEM
  ibrav = 0, nat = 14, ntyp = 3
/
ATOMIC_SPECIES
Y 88.91 Y.upf
Zn 65.41 Zn.upf
Ga 69.72 Ga.upf
ATOMIC_POSITIONS crystal
Y 0.1176 0.0000 0.3356
Y 0.3824 0.5000 0.6644
Y 0.6176 0.5000 0.3356
Y 0.8824 0.0000 0.6644
Zn 0.0000 0.5000 0.0000
Zn 0.2227 0.0000 0.8591
Zn 0.2773 0.5000 0.1409
Zn 0.5000 0.0000 0.0000
Zn 0.7227 0.5000 0.8591
Zn 0.7773 0.0000 0.1409
Ga 0.1044 0.5000 0.6844
Ga 0.3956 0.0000 0.3156
Ga 0.6044 0.0000 0.6844
Ga 0.8956 0.5000 0.3156
CELL_PARAMETERS angstrom
10.7676 0.0000 0.0000
0.0000 4.3057 0.0000
-1.6162 0.0000 6.0210
```

Which of them is the most stable? Correct choice: 1.

1:
## Y2ZnGa2 (PBE)

Data for a geometry-optimized Y2ZnGa2 structure. Values from VASP.

```
&SYSTEM
  ibrav = 0, nat = 10, ntyp = 3
/
ATOMIC_SPECIES
Y 88.91 Y.upf
Zn 65.41 Zn.upf
Ga 69.72 Ga.upf
ATOMIC_POSITIONS crystal
Y 0.1714 0.3286 0.0000
Y 0.3286 0.8286 0.0000
Y 0.6714 0.1714 0.0000
Y 0.8286 0.6714 0.0000
Zn 0.0000 0.0000 0.5000
Zn 0.5000 0.5000 0.5000
Ga 0.1340 0.6340 0.5000
Ga 0.3660 0.1340 0.5000
Ga 0.6340 0.8660 0.5000
Ga 0.8660 0.3660 0.5000
CELL_PARAMETERS angstrom
6.9208 0.0000 0.0000
0.0000 6.9208 0.0000
0.0000 0.0000 4.5558
```

2:
## Y2ZnGa2 (PBE)

Data for a geometry-optimized Y2ZnGa2 structure. Values from VASP.

```
&SYSTEM
  ibrav = 0, nat = 10, ntyp = 3
/
ATOMIC_SPECIES
Y 88.91 Y.upf
Zn 65.41 Zn.upf
Ga 69.72 Ga.upf
ATOMIC_POSITIONS crystal
Y 0.0169 0.0169 0.3314
Y 0.1844 0.1844 0.0972
Y 0.8156 0.8156 0.9028
Y 0.9831 0.9831 0.6686
Zn 0.2746 0.2746 0.6560
Zn 0.7254 0.7254 0.3440
Ga 0.3606 0.3606 0.4331
Ga 0.4791 0.4791 0.1161
Ga 0.5209 0.5209 0.8839
Ga 0.6394 0.6394 0.5669
CELL_PARAMETERS angstrom
5.3402 -2.1975 0.0000
5.3402 2.1975 0.0000
-4.9105 0.0000 9.2484
```

3:
## Y2ZnGa2 (PBE)

Data for a geometry-optimized Y2ZnGa2 structure. Values from VASP.

```
&SYSTEM
  ibrav = 0, nat = 10, ntyp = 3
/
ATOMIC_SPECIES
Y 88.91 Y.upf
Zn 65.41 Zn.upf
Ga 69.72 Ga.upf
ATOMIC_POSITIONS crystal
Y 0.0000 0.5000 0.2500
Y 0.0000 0.5000 0.7500
Y 0.5000 0.0000 0.2500
Y 0.5000 0.0000 0.7500
Zn 0.0000 0.0000 0.0000
Zn 0.5000 0.5000 0.5000
Ga 0.0000 0.0000 0.3376
Ga 0.0000 0.0000 0.6624
Ga 0.5000 0.5000 0.1624
Ga 0.5000 0.5000 0.8376
CELL_PARAMETERS angstrom
5.7687 0.0000 0.0000
0.0000 5.7687 0.0000
0.0000 0.0000 7.4068
```

Which of them is the most stable? Correct choice: 2.